w | Material: MgHgH3
Method: DFT, PBE
State: optimized geometry

The density of states at the Fermi level is 0.3581 states/eV per atom. As for the size of the total moment: 0.000 μB/atom.

The structure belongs to space group Pm-3m (No. 221); the cell edges are 3.991, 3.991 and 3.991 Å and the angles 90.00°, 90.00° and 90.00°. The distinct sites, in fractional coordinates, are Mg at (0.000, 0.000, 0.000), Hg at (0.500, 0.500, 0.500) and H at (0.000, 0.500, 0.500).

=====

x | Material: MgHgH3
Method: DFT, PBE
State: optimized geometry

The density of states at the Fermi level is 0.1669 states/eV per atom. As for the size of the total moment: 0.000 μB/atom.

The structure belongs to space group Pm-3m (No. 221); the cell edges are 3.894, 3.894 and 3.894 Å and the angles 90.00°, 90.00° and 90.00°. The distinct sites, in fractional coordinates, are Mg at (0.000, 0.000, 0.000), Hg at (0.500, 0.500, 0.500) and H at (0.000, 0.000, 0.500).

=====

Energies relative to the minimum, eV/atom: w 0.236; x 0.000

=====

w | Material: MgHgHPd2
Method: DFT, PBE
State: optimized geometry

The density of states at the Fermi level is 0.1986 states/eV per atom. As for the size of the total moment: 0.000 μB/atom.

The structure belongs to space group P4/mmm (No. 123); the cell edges are 4.108, 4.108 and 4.240 Å and the angles 90.00°, 90.00° and 90.00°. The distinct sites, in fractional coordinates, are Mg at (0.000, 0.000, 0.000), Hg at (0.500, 0.500, 0.000), H at (0.500, 0.500, 0.500) and Pd at (0.000, 0.500, 0.500).

=====

x | Material: MgHgHPd2
Method: DFT, PBE
State: optimized geometry

The density of states at the Fermi level is 0.1995 states/eV per atom. As for the size of the total moment: 0.000 μB/atom.

The structure belongs to space group P4/mmm (No. 123); the cell edges are 4.090, 4.090 and 4.201 Å and the angles 90.00°, 90.00° and 90.00°. The distinct sites, in fractional coordinates, are Mg at (0.000, 0.000, 0.000), Hg at (0.500, 0.500, 0.000), H at (0.000, 0.000, 0.500) and Pd at (0.000, 0.500, 0.500).

=====

Energies relative to the minimum, eV/atom: w 0.118; x 0.000

=====

w | Material: MgHgHPt2
Method: DFT, PBE
State: optimized geometry

The density of states at the Fermi level is 0.2819 states/eV per atom. As for the size of the total moment: 0.000 μB/atom.

The structure belongs to space group P4/mmm (No. 123); the cell edges are 4.071, 4.071 and 4.262 Å and the angles 90.00°, 90.00° and 90.00°. The distinct sites, in fractional coordinates, are Mg at (0.000, 0.000, 0.000), Hg at (0.500, 0.500, 0.000), H at (0.000, 0.000, 0.500) and Pt at (0.000, 0.500, 0.500).

=====

x | Material: MgHgHPt2
Method: DFT, PBE
State: optimized geometry

The density of states at the Fermi level is 0.1199 states/eV per atom. As for the size of the total moment: 0.000 μB/atom.

The structure belongs to space group P4/mmm (No. 123); the cell edges are 4.081, 4.081 and 4.319 Å and the angles 90.00°, 90.00° and 90.00°. The distinct sites, in fractional coordinates, are Mg at (0.000, 0.000, 0.000), Hg at (0.500, 0.500, 0.000), H at (0.500, 0.500, 0.500) and Pt at (0.000, 0.500, 0.500).

=====

Energies relative to the minimum, eV/atom: w 0.000; x 0.111